Entry 1:
{"formula": "Tl2CdBi", "functional": "GGA-PBE", "state": "optimized geometry", "vol_a3_per_cell": 121, "formation_energy_ev_per_atom": 0.064, "magmom_total_mub_per_atom": 0.000, "lattice_angstrom": [[-1.0514, 3.3647, 0.8797], [-2.7854, 0.4426, -5.0217], [-4.7577, -2.1276, 2.4515]], "species": ["Tl", "Tl", "Cd", "Bi"], "fractional_positions": [[0.0000, 0.0000, 0.5000], [0.0000, 0.5000, 0.0000], [0.5000, 0.0000, 0.0000], [0.5000, 0.5000, 0.5000]]}


Entry 2:
{"formula": "Cr2CoP", "functional": "GGA-PBE", "state": "optimized geometry", "vol_a3_per_cell": 44, "formation_energy_ev_per_atom": -0.181, "magmom_total_mub_per_atom": 0.004, "lattice_angstrom": [[-4.3541, 1.4854, -0.5508], [-3.7848, -0.2886, -2.6571], [-2.8612, -2.4828, 1.3177]], "species": ["Co", "Cr", "Cr", "P"], "fractional_positions": [[0.7749, 0.7749, 0.7252], [0.0025, 0.0025, 0.9974], [0.2293, 0.2293, 0.2709], [0.4933, 0.4933, 0.5064]]}